No. 1
CeDyTlHg: relaxed, PBE.

Calculated values
- Energy of formation from the pure elements: -0.326 eV/atom
- Symmetry: F-43m (216)

Lattice parameters (Å, degrees): 7.636 7.636 7.636 90.00 90.00 90.00
Positions (direct):
Ce 0.000 0.000 0.000
Ce 0.000 0.500 0.500
Ce 0.500 0.000 0.500
Ce 0.500 0.500 0.000
Dy 0.000 0.000 0.500
Dy 0.000 0.500 0.000
Dy 0.500 0.000 0.000
Dy 0.500 0.500 0.500
Tl 0.250 0.250 0.750
Tl 0.250 0.750 0.250
Tl 0.750 0.250 0.250
Tl 0.750 0.750 0.750
Hg 0.250 0.250 0.250
Hg 0.250 0.750 0.750
Hg 0.750 0.250 0.750
Hg 0.750 0.750 0.250



No. 2
PrBe2AlPt4: relaxed, PBE.

Calculated values
- Energy of formation from the pure elements: -0.823 eV/atom
- Symmetry: R-3m (166)

Lattice parameters (Å, degrees): 9.191 9.191 9.191 25.84 25.84 25.84
Positions (direct):
Pr 0.000 0.000 0.000
Be 0.239 0.239 0.239
Be 0.761 0.761 0.761
Al 0.500 0.500 0.500
Pt 0.132 0.132 0.132
Pt 0.406 0.406 0.406
Pt 0.594 0.594 0.594
Pt 0.868 0.868 0.868



No. 3
ZnMoBr2: relaxed, PBE.

Calculated values
- E above lowest polymorph: 338 meV/atom
- Symmetry: Cmmm (65)

Lattice parameters (Å, degrees): 3.172 6.110 10.563 90.00 90.00 90.00
Positions (direct):
Zn 0.000 0.000 0.000
Zn 0.500 0.500 0.000
Mo 0.000 0.000 0.500
Mo 0.500 0.500 0.500
Br 0.000 0.500 0.307
Br 0.000 0.500 0.693
Br 0.500 0.000 0.307
Br 0.500 0.000 0.693



No. 4
RbBH2: relaxed, PBE.

Calculated values
- E above lowest polymorph: 1531 meV/atom
- Symmetry: Fm-3m (225)

Lattice parameters (Å, degrees): 6.315 6.315 6.315 90.00 90.00 90.00
Positions (direct):
Rb 0.000 0.000 0.000
Rb 0.000 0.500 0.500
Rb 0.500 0.000 0.500
Rb 0.500 0.500 0.000
B 0.000 0.000 0.500
B 0.000 0.500 0.000
B 0.500 0.000 0.000
B 0.500 0.500 0.500
H 0.250 0.250 0.250
H 0.250 0.250 0.750
H 0.250 0.750 0.250
H 0.250 0.750 0.750
H 0.750 0.250 0.250
H 0.750 0.250 0.750
H 0.750 0.750 0.250
H 0.750 0.750 0.750



No. 5
Ce8C3Br4N: relaxed, PBE.

Calculated values
- Total energy: -6.611 eV per atom
- Symmetry: R-3m (166)

Lattice parameters (Å, degrees): 8.598 8.598 8.598 50.80 50.80 50.80
Positions (direct):
Ce 0.228 0.228 0.228
Ce 0.231 0.726 0.726
Ce 0.274 0.274 0.769
Ce 0.274 0.769 0.274
Ce 0.726 0.231 0.726
Ce 0.726 0.726 0.231
Ce 0.769 0.274 0.274
Ce 0.772 0.772 0.772
C 0.000 0.000 0.500
C 0.000 0.500 0.000
C 0.500 0.000 0.000
Br 0.000 0.000 0.000
Br 0.000 0.500 0.500
Br 0.500 0.000 0.500
Br 0.500 0.500 0.000
N 0.500 0.500 0.500



No. 6
TaAgPt2: relaxed, PBE.

Calculated values
- Energy of formation from the pure elements: -0.294 eV/atom
- Symmetry: R-3m (166)

Lattice parameters (Å, degrees): 2.862 2.862 28.201 90.00 90.00 120.00
Positions (direct):
Ta 0.000 0.000 0.000
Ta 0.333 0.667 0.667
Ta 0.667 0.333 0.333
Ag 0.000 0.000 0.500
Ag 0.333 0.667 0.167
Ag 0.667 0.333 0.833
Pt 0.000 0.000 0.254
Pt 0.000 0.000 0.746
Pt 0.333 0.667 0.413
Pt 0.333 0.667 0.920
Pt 0.667 0.333 0.080
Pt 0.667 0.333 0.587



No. 7
Y2ErSi3Pt12: relaxed, PBE.

Calculated values
- Total energy: -6.477 eV per atom
- Symmetry: R-3m (166)

Lattice parameters (Å, degrees): 7.571 7.571 7.571 66.82 66.82 66.82
Positions (direct):
Y 0.096 0.096 0.096
Y 0.904 0.904 0.904
Er 0.500 0.500 0.500
Si 0.000 0.500 0.500
Si 0.500 0.000 0.500
Si 0.500 0.500 0.000
Pt 0.101 0.650 0.650
Pt 0.147 0.147 0.601
Pt 0.147 0.601 0.147
Pt 0.350 0.350 0.899
Pt 0.350 0.899 0.350
Pt 0.399 0.853 0.853
Pt 0.601 0.147 0.147
Pt 0.650 0.101 0.650
Pt 0.650 0.650 0.101
Pt 0.853 0.399 0.853
Pt 0.853 0.853 0.399
Pt 0.899 0.350 0.350



No. 8
Ru2BrCl: relaxed, PBE.

Calculated values
- E above lowest polymorph: 534 meV/atom
- Symmetry: I-42d (122)

Lattice parameters (Å, degrees): 4.469 4.469 15.440 90.00 90.00 90.00
Positions (direct):
Ru 0.151 0.250 0.125
Ru 0.250 0.651 0.375
Ru 0.250 0.849 0.875
Ru 0.349 0.250 0.625
Ru 0.651 0.750 0.625
Ru 0.750 0.151 0.875
Ru 0.750 0.349 0.375
Ru 0.849 0.750 0.125
Br 0.000 0.000 0.500
Br 0.000 0.500 0.750
Br 0.500 0.000 0.250
Br 0.500 0.500 0.000
Cl 0.000 0.000 0.000
Cl 0.000 0.500 0.250
Cl 0.500 0.000 0.750
Cl 0.500 0.500 0.500



No. 9
AgPtCl2: relaxed, PBE.

Calculated values
- E above lowest polymorph: 297 meV/atom
- Symmetry: I-42d (122)

Lattice parameters (Å, degrees): 4.904 4.904 15.061 90.00 90.00 90.00
Positions (direct):
Ag 0.000 0.000 0.000
Ag 0.000 0.500 0.250
Ag 0.500 0.000 0.750
Ag 0.500 0.500 0.500
Pt 0.000 0.000 0.500
Pt 0.000 0.500 0.750
Pt 0.500 0.000 0.250
Pt 0.500 0.500 0.000
Cl 0.212 0.250 0.625
Cl 0.250 0.712 0.875
Cl 0.250 0.788 0.375
Cl 0.288 0.250 0.125
Cl 0.712 0.750 0.125
Cl 0.750 0.212 0.375
Cl 0.750 0.288 0.875
Cl 0.788 0.750 0.625



No. 10
LaMg2ScTl4: relaxed, PBE.

Calculated values
- Energy of formation from the pure elements: -0.212 eV/atom
- Symmetry: R-3m (166)

Lattice parameters (Å, degrees): 9.941 9.941 9.941 29.41 29.41 29.41
Positions (direct):
La 0.000 0.000 0.000
Mg 0.245 0.245 0.245
Mg 0.755 0.755 0.755
Sc 0.500 0.500 0.500
Tl 0.128 0.128 0.128
Tl 0.388 0.388 0.388
Tl 0.612 0.612 0.612
Tl 0.872 0.872 0.872



No. 11
ScCo2Rh: relaxed, PBE.

Calculated values
- Energy of formation from the pure elements: -0.211 eV/atom
- Symmetry: I4/mmm (139)

Lattice parameters (Å, degrees): 3.692 3.692 8.253 90.00 90.00 90.00
Positions (direct):
Sc 0.000 0.000 0.000
Sc 0.500 0.500 0.500
Co 0.000 0.500 0.250
Co 0.000 0.500 0.750
Co 0.500 0.000 0.250
Co 0.500 0.000 0.750
Rh 0.000 0.000 0.500
Rh 0.500 0.500 0.000



No. 12
Ga2OsPdC: relaxed, PBE.

Calculated values
- Energy of formation from the pure elements: 0.883 eV/atom
- Symmetry: P4/mmm (123)

Lattice parameters (Å, degrees): 4.130 4.130 4.063 90.00 90.00 90.00
Positions (direct):
Ga 0.000 0.500 0.000
Ga 0.500 0.000 0.000
Os 0.000 0.000 0.500
Pd 0.500 0.500 0.500
C 0.500 0.500 0.000